{"formula": "Na2NdWO6", "functional": "GGA+U", "state": "optimized geometry", "energy_ev_per_atom": -6.589, "sg": "P2_1/c", "lattice": [[-0.1414, -3.0648, 4.8812], [-4.7665, -2.9486, -1.9894], [4.9427, -5.6804, -3.4232]], "species": ["W", "W", "O", "O", "O", "O", "O", "O", "O", "O", "O", "O", "O", "O", "Na", "Na", "Na", "Na", "Nd", "Nd"], "frac_coords": [[0.0000, 0.5000, 0.0000], [0.5000, 0.0000, 0.5000], [0.5986, 0.0403, 0.2759], [0.2756, 0.6780, 0.0450], [0.6714, 0.2720, 0.5586], [0.0986, 0.4597, 0.7759], [0.8286, 0.7720, 0.9414], [0.7244, 0.3220, 0.9550], [0.9014, 0.5403, 0.2241], [0.7756, 0.8220, 0.5450], [0.4014, 0.9597, 0.7241], [0.3286, 0.7280, 0.4414], [0.2244, 0.1780, 0.4550], [0.1714, 0.2280, 0.0586], [0.4918, 0.4626, 0.2446], [0.5082, 0.5374, 0.7554], [0.0082, 0.9626, 0.2554], [0.9918, 0.0374, 0.7446], [0.5000, 0.0000, 0.0000], [0.0000, 0.5000, 0.5000]]}